Entry from Alexandria: a relaxed structure of BaCdAg4 (GGA-PBE).

a b c (Å): 5.8206 5.8206 5.8206
angles (deg): 60.00 60.00 60.00
With the nearest neighbours (Å) after each atom.
Fractional coordinates of all 6 atoms:
1 Ba 0.0000 0.0000 0.0000  12 Ag 3.42, 4 Cd 3.56
2 Cd 0.7500 0.7500 0.7500  12 Ag 3.41, 4 Ba 3.56
3 Ag 0.3762 0.3762 0.3762  6 Ag 2.88-2.94
4 Ag 0.3762 0.3762 0.8714  6 Ag 2.88-2.94
5 Ag 0.3762 0.8714 0.3762  6 Ag 2.88-2.94
6 Ag 0.8714 0.3762 0.3762  6 Ag 2.88-2.94

Values from the calculation:
Fermi-level density of states in states/eV/cell: 6.68
V in Å³ per cell: 139
Energy of formation from the pure elements in kcal/mol of atoms: -3.01

Entry from Alexandria: a relaxed structure of BaCdAg4 (GGA-PBE).

a b c (Å): 9.0334 17.9763 3.7629
angles (deg): 90.00 90.00 90.00
With the nearest neighbours (Å) after each atom.
Fractional coordinates of all 24 atoms:
1 Ba 0.1286 0.1525 0.0000  14 Ag 3.50-3.89, 2 Ba 3.76
2 Ba 0.3714 0.6525 0.0000  14 Ag 3.50-3.89, 2 Ba 3.76
3 Ba 0.6286 0.3475 0.0000  14 Ag 3.50-3.89, 2 Ba 3.76
4 Ba 0.8714 0.8475 0.0000  14 Ag 3.50-3.89, 2 Ba 3.76
5 Cd 0.1307 0.4117 0.0000  10 Ag 2.97-3.10
6 Cd 0.3693 0.9117 0.0000  10 Ag 2.97-3.10
7 Cd 0.6307 0.0883 0.0000  10 Ag 2.97-3.10
8 Cd 0.8693 0.5883 0.0000  10 Ag 2.97-3.10
9 Ag 0.0227 0.6943 0.5000  3 Ag 2.71-2.82, 2 Cd 3.01
10 Ag 0.1179 0.5484 0.5000  3 Ag 2.74-2.76, 2 Cd 3.02
11 Ag 0.1303 0.9632 0.5000  3 Ag 2.70-2.81, 2 Cd 3.01
12 Ag 0.2107 0.8120 0.5000  3 Ag 2.71-2.82, 2 Cd 2.97
13 Ag 0.2893 0.3120 0.5000  3 Ag 2.71-2.82, 2 Cd 2.97
14 Ag 0.3697 0.4632 0.5000  3 Ag 2.70-2.81, 2 Cd 3.01
15 Ag 0.3821 0.0484 0.5000  3 Ag 2.74-2.76, 2 Cd 3.02
16 Ag 0.4773 0.1943 0.5000  3 Ag 2.71-2.82, 2 Cd 3.01
17 Ag 0.5227 0.8057 0.5000  3 Ag 2.71-2.82, 2 Cd 3.01
18 Ag 0.6179 0.9516 0.5000  3 Ag 2.74-2.76, 2 Cd 3.02
19 Ag 0.6303 0.5368 0.5000  3 Ag 2.70-2.81, 2 Cd 3.01
20 Ag 0.7107 0.6880 0.5000  3 Ag 2.71-2.82, 2 Cd 2.97
21 Ag 0.7893 0.1880 0.5000  3 Ag 2.71-2.82, 2 Cd 2.97
22 Ag 0.8697 0.0368 0.5000  3 Ag 2.70-2.81, 2 Cd 3.01
23 Ag 0.8821 0.4516 0.5000  3 Ag 2.74-2.76, 2 Cd 3.02
24 Ag 0.9773 0.3057 0.5000  3 Ag 2.71-2.82, 2 Cd 3.01

Values from the calculation:
Fermi-level density of states in states/eV/cell: 9.83
V in Å³ per cell: 611
Energy of formation from the pure elements in kcal/mol of atoms: -1.10

Question: Which of these has the lowest Fermi-level density of states?
Answer: number 1